No. 1
A plane-wave DFT calculation with PBEsol was carried out for a relaxed structure of Y2CdHg.

Properties
- Symmetry: P4mm
- Energy above the lowest structure with this stoichiometry: 0.218 eV/atom
- Energy of formation from the pure elements: -26.6 kJ per mole of atoms
- E_tot: -16.5 eV for the cell shown
- Theoretical density: 8.0 Mg/m³

Structure (POSCAR):
```
Y2CdHg
1.0
3.496 0.000 0.000
0.000 3.496 0.000
0.000 0.000 8.323
Y Cd Hg
2 1 1
direct
0.500 0.500 0.277
0.000 0.000 0.965
0.000 0.000 0.523
0.500 0.500 0.735
```



No. 2
A plane-wave DFT calculation with PBEsol was carried out for a relaxed structure of KTlP3.

Properties
- Symmetry: Pm-3m
- Energy of formation from the pure elements: 163.4 kJ per mole of atoms
- E_tot: -12.7 eV for the cell shown
- Theoretical density: 3.9 Mg/m³

Structure (POSCAR):
```
KTlP3
1.0
-4.542 -2.374 -1.030
2.317 -4.657 0.517
-1.152 -0.007 5.098
K P Tl
1 3 1
direct
0.000 0.000 0.000
0.000 0.000 0.500
0.500 0.000 0.000
0.000 0.500 0.000
0.500 0.500 0.500
```



No. 3
A plane-wave DFT calculation with PBEsol was carried out for a relaxed structure of NaNbPd2I.

Properties
- Symmetry: P4/mmm
- E_tot: -18.8 eV for the cell shown
- Theoretical density: 6.9 Mg/m³

Structure (POSCAR):
```
NaNbPd2I
1.0
4.601 0.000 0.000
0.000 4.601 0.000
0.000 0.000 5.145
I Pd Nb Na
1 2 1 1
direct
0.500 0.500 0.500
0.500 0.000 0.000
0.000 0.500 0.000
0.000 0.000 0.500
0.000 0.000 0.000
```



No. 4
A plane-wave DFT calculation with PBEsol was carried out for a relaxed structure of SbSeBr.

Properties
- Symmetry: F-43m
- E_tot: -10.7 eV for the cell shown
- Theoretical density: 5.6 Mg/m³

Structure (POSCAR):
```
SbSeBr
1.0
4.898 0.000 0.000
2.449 4.241 0.000
2.449 1.414 3.999
Se Sb Br
1 1 1
direct
0.000 0.000 0.000
0.250 0.250 0.250
0.500 0.500 0.500
```



No. 5
A plane-wave DFT calculation with PBEsol was carried out for a relaxed structure of AlTc5.

Properties
- Symmetry: Amm2
- Energy above the lowest structure with this stoichiometry: 0.014 eV/atom
- Energy of formation from the pure elements: -9.3 kJ per mole of atoms
- E_tot: -61.0 eV for the cell shown
- Theoretical density: 10.2 Mg/m³

Structure (POSCAR):
```
AlTc5
1.0
2.768 0.000 0.000
0.000 4.367 0.000
-1.384 0.000 6.934
Al Tc
1 5
direct
0.998 0.000 0.996
0.445 0.500 0.891
0.670 0.000 0.339
0.777 0.500 0.553
0.111 0.500 0.221
0.333 0.000 0.667
```



No. 6
A plane-wave DFT calculation with PBEsol was carried out for a relaxed structure of LiMgAu2.

Properties
- Symmetry: F-43m
- Energy of formation from the pure elements: -47.1 kJ per mole of atoms
- E_tot: -13.5 eV for the cell shown
- Theoretical density: 10.8 Mg/m³

Structure (POSCAR):
```
LiMgAu2
1.0
-3.161 -0.941 3.100
0.805 -3.121 3.178
0.607 1.258 4.306
Li Mg Au
1 1 2
direct
0.500 0.500 0.500
0.250 0.250 0.250
0.000 0.000 0.000
0.750 0.750 0.750
```



> Among the records above, which one has the highest E_tot?

SbSeBr